First-principles (PBE-GGA) data for crystalline YGa2Re at its relaxed geometry, as listed in the Alexandria database.

Cell lengths 4.4635, 4.4635, 9.4732 Å; angles 76.37, 76.37, 90.00 degrees
With the nearest neighbours (Å) after each atom.
Positions (direct):
Y: 0.5000 0.5000 0.0000  4 Ga 3.04, 4 Re 3.16
Y: 0.2500 0.7500 0.5000  4 Ga 3.04, 4 Re 3.16
Re: 0.0000 0.0000 0.0000  4 Ga 2.55
Re: 0.7500 0.2500 0.5000  4 Ga 2.55
Ga: 0.7637 0.1250 0.2500  2 Ga 2.44, 2 Re 2.55
Ga: 0.9863 0.6250 0.2500  2 Ga 2.44, 2 Re 2.55
Ga: 0.3750 0.2363 0.7500  2 Ga 2.44, 2 Re 2.55
Ga: 0.8750 0.0137 0.7500  2 Ga 2.44, 2 Re 2.55

ΔE_f: 0.2414 eV per atom
offset from the most stable computed form: 1.35 eV per formula unit
magnetization: 0.00 μB per formula unit
uncorrected energy: -6.0000 eV/atom